P | Computed, not measured: crystalline Pr12DyY7 at its relaxed geometry at the GGA-PBE level of DFT.

a b c (Å): 19.0536 19.0536 6.8702
angles (deg): 90.00 90.00 120.00
Space group R-3 (No. 148, hexagonal axes)
Unique sites:
Pr 0.0008 0.7902 0.2877 (multiplicity 18)
Pr 0.0062 0.4702 0.7429 (multiplicity 18)
Dy 0.0000 0.0000 0.0000 (multiplicity 3)
Y 0.0000 0.0000 0.5000 (multiplicity 3)
Y 0.0071 0.8532 0.7793 (multiplicity 18)

Properties
D(E_F), states/eV per atom: 1.42
M_tot, μB/f.u.: 0.00



Q | Computed, not measured: crystalline Pr12DyY7 at its relaxed geometry at the GGA-PBE level of DFT.

a b c (Å): 12.4422 12.4422 15.7512
angles (deg): 90.00 90.00 120.00
Space group R-3 (No. 148, hexagonal axes)
Unique sites:
Pr 0.0197 0.5744 0.2190 (multiplicity 18)
Pr 0.0599 0.4676 0.5810 (multiplicity 18)
Dy 0.0000 0.0000 0.5000 (multiplicity 3)
Y 0.0000 0.0000 0.0000 (multiplicity 3)
Y 0.0521 0.8660 0.3006 (multiplicity 18)

Properties
D(E_F), states/eV per atom: 1.97
M_tot, μB/f.u.: 0.00



Stability comparison, relative energies in kJ/mol of atoms: P 6.0; Q 0.0



P | Computed, not measured: crystalline PrDy2Y7 at its relaxed geometry at the GGA-PBE level of DFT.

a b c (Å): 6.1955 6.2038 9.4663
angles (deg): 102.64 109.01 99.60
Space group P-1 (No. 2)
Unique sites:
Pr 0.0000 0.0000 0.0000 (multiplicity 1)
Dy 0.2003 0.0009 0.4011 (multiplicity 2)
Y 0.0000 0.5000 0.5000 (multiplicity 1)
Y 0.2000 0.4992 0.8992 (multiplicity 2)
Y 0.3986 0.9993 0.7974 (multiplicity 2)
Y 0.4000 0.5016 0.3016 (multiplicity 2)

Properties
D(E_F), states/eV per atom: 1.51
M_tot, μB/f.u.: 0.00



Q | Computed, not measured: crystalline PrDy2Y7 at its relaxed geometry at the GGA-PBE level of DFT.

a b c (Å): 8.8433 15.9240 5.6843
angles (deg): 90.00 90.00 90.00
Space group Cmmm (No. 65)
Unique sites:
Pr 0.0000 0.0000 0.0000 (multiplicity 2)
Dy 0.0000 0.2971 0.5000 (multiplicity 4)
Y 0.0000 0.2248 0.0000 (multiplicity 4)
Y 0.0000 0.5000 0.5000 (multiplicity 2)
Y 0.1776 0.1176 0.5000 (multiplicity 8)

Properties
D(E_F), states/eV per atom: 1.37
M_tot, μB/f.u.: 0.00



Stability comparison, relative energies in kJ/mol of atoms: P 0.0; Q 64.6



P | Computed, not measured: crystalline Pr4DyY6 at its relaxed geometry at the GGA-PBE level of DFT.

a b c (Å): 11.0532 11.0532 3.6148
angles (deg): 90.00 90.00 120.00
Space group P-6m2 (No. 187)
Unique sites:
Pr 0.0000 0.0000 0.0000 (multiplicity 1)
Pr 0.5067 0.0135 0.5000 (multiplicity 3)
Dy 0.6667 0.3333 0.0000 (multiplicity 1)
Y 0.1853 0.3705 0.0000 (multiplicity 3)
Y 0.3011 0.1506 0.5000 (multiplicity 3)

Properties
D(E_F), states/eV per atom: 1.63
M_tot, μB/f.u.: 0.00



Q | Computed, not measured: crystalline Pr4DyY6 at its relaxed geometry at the GGA-PBE level of DFT.

a b c (Å): 5.8159 9.7810 26.1418
angles (deg): 90.00 90.00 90.00
Space group Cmcm (No. 63)
Unique sites:
Pr 0.0000 0.0298 0.1226 (multiplicity 8)
Pr 0.0000 0.3434 0.0454 (multiplicity 8)
Dy 0.0000 0.3162 0.7500 (multiplicity 4)
Y 0.0000 0.0000 0.0000 (multiplicity 4)
Y 0.0000 0.0177 0.2500 (multiplicity 4)
Y 0.0000 0.3106 0.6066 (multiplicity 8)
Y 0.0000 0.3552 0.1833 (multiplicity 8)

Properties
D(E_F), states/eV per atom: 1.91
M_tot, μB/f.u.: 0.00



Stability comparison, relative energies in kJ/mol of atoms: P 4.9; Q 0.0



P | Computed, not measured: crystalline PrDy6Y at its relaxed geometry at the GGA-PBE level of DFT.

a b c (Å): 6.5636 6.5686 7.5553
angles (deg): 115.18 115.62 90.03
Space group P-1 (No. 2)
Unique sites:
Pr 0.0000 0.0000 0.0000 (multiplicity 1)
Dy 0.2343 0.5607 0.4686 (multiplicity 2)
Dy 0.2525 0.5002 0.9998 (multiplicity 2)
Dy 0.2663 0.0914 0.5323 (multiplicity 2)
Y 0.5000 0.0000 0.0000 (multiplicity 1)

Properties
D(E_F), states/eV per atom: 1.58
M_tot, μB/f.u.: 0.00



Q | Computed, not measured: crystalline PrDy6Y at its relaxed geometry at the GGA-PBE level of DFT.

a b c (Å): 5.0515 5.0515 10.0806
angles (deg): 90.00 90.00 90.00
Space group P4/mmm (No. 123)
Unique sites:
Pr 0.0000 0.0000 0.0000 (multiplicity 1)
Dy 0.0000 0.5000 0.2519 (multiplicity 4)
Dy 0.5000 0.5000 0.0000 (multiplicity 1)
Dy 0.5000 0.5000 0.5000 (multiplicity 1)
Y 0.0000 0.0000 0.5000 (multiplicity 1)

Properties
D(E_F), states/eV per atom: 1.49
M_tot, μB/f.u.: 0.00



Stability comparison, relative energies in kJ/mol of atoms: P 16.7; Q 0.0



P | Computed, not measured: crystalline Pr12Dy5Y2 at its relaxed geometry at the GGA-PBE level of DFT.

a b c (Å): 19.4058 7.6187 10.1099
angles (deg): 90.00 117.18 90.00
Space group C2/m (No. 12)
Unique sites:
Pr 0.0032 0.0000 0.2091 (multiplicity 4)
Pr 0.0090 0.5000 0.3331 (multiplicity 4)
Pr 0.1602 0.2488 0.8480 (multiplicity 8)
Pr 0.1646 0.2373 0.4957 (multiplicity 8)
Dy 0.0000 0.0000 0.5000 (multiplicity 2)
Dy 0.1754 0.0000 0.1720 (multiplicity 4)
Dy 0.1803 0.5000 0.1947 (multiplicity 4)
Y 0.0000 0.2999 0.0000 (multiplicity 4)

Properties
D(E_F), states/eV per atom: 1.63
M_tot, μB/f.u.: 0.00



Q | Computed, not measured: crystalline Pr12Dy5Y2 at its relaxed geometry at the GGA-PBE level of DFT.

a b c (Å): 15.4726 10.6541 8.1395
angles (deg): 90.00 93.45 90.00
Space group C2/m (No. 12)
Unique sites:
Pr 0.0542 0.0000 0.2121 (multiplicity 4)
Pr 0.1067 0.2266 0.8873 (multiplicity 8)
Pr 0.1358 0.5000 0.6100 (multiplicity 4)
Pr 0.1863 0.2748 0.2926 (multiplicity 8)
Dy 0.0000 0.5000 0.0000 (multiplicity 2)
Dy 0.1549 0.0000 0.5938 (multiplicity 4)
Dy 0.2420 0.5000 0.9875 (multiplicity 4)
Y 0.0000 0.2353 0.5000 (multiplicity 4)

Properties
D(E_F), states/eV per atom: 1.41
M_tot, μB/f.u.: 0.00



Stability comparison, relative energies in kJ/mol of atoms: P 3.9; Q 0.0



P | Computed, not measured: crystalline Pr3Dy2Y4 at its relaxed geometry at the GGA-PBE level of DFT.

a b c (Å): 16.7756 11.8054 6.1053
angles (deg): 90.00 97.76 90.00
Space group C2/c (No. 15)
Unique sites:
Pr 0.0000 0.1065 0.2500 (multiplicity 4)
Pr 0.1670 0.3889 0.0828 (multiplicity 8)
Dy 0.1147 0.1330 0.8139 (multiplicity 8)
Y 0.0510 0.3690 0.5216 (multiplicity 8)
Y 0.2167 0.1274 0.3581 (multiplicity 8)

Properties
D(E_F), states/eV per atom: 1.61
M_tot, μB/f.u.: 0.00



Q | Computed, not measured: crystalline Pr3Dy2Y4 at its relaxed geometry at the GGA-PBE level of DFT.

a b c (Å): 11.9725 3.6141 14.8819
angles (deg): 90.00 111.34 90.00
Space group C2/m (No. 12)
Unique sites:
Pr 0.0000 0.0000 0.0000 (multiplicity 2)
Pr 0.1093 0.0000 0.4419 (multiplicity 4)
Dy 0.0533 0.5000 0.2202 (multiplicity 4)
Y 0.1700 0.5000 0.6693 (multiplicity 4)
Y 0.2222 0.0000 0.8888 (multiplicity 4)

Properties
D(E_F), states/eV per atom: 1.35
M_tot, μB/f.u.: 0.00



Stability comparison, relative energies in kJ/mol of atoms: P 7.6; Q 0.0



P | Computed, not measured: crystalline Pr2Dy3Y6 at its relaxed geometry at the GGA-PBE level of DFT.

a b c (Å): 4.7538 4.7538 33.6774
angles (deg): 90.00 90.00 90.00
Space group I4/mmm (No. 139)
Unique sites:
Pr 0.0000 0.0000 0.0457 (multiplicity 4)
Dy 0.0000 0.0000 0.3004 (multiplicity 4)
Dy 0.0000 0.0000 0.5000 (multiplicity 2)
Y 0.0000 0.0000 0.1985 (multiplicity 4)
Y 0.0000 0.5000 0.1224 (multiplicity 8)

Properties
D(E_F), states/eV per atom: 1.61
M_tot, μB/f.u.: 0.00



Q | Computed, not measured: crystalline Pr2Dy3Y6 at its relaxed geometry at the GGA-PBE level of DFT.

a b c (Å): 6.1555 10.6754 11.7726
angles (deg): 90.00 100.12 90.00
Space group C2/m (No. 12)
Unique sites:
Pr 0.0000 0.1668 0.0000 (multiplicity 4)
Dy 0.0000 0.0000 0.5000 (multiplicity 2)
Dy 0.0000 0.3351 0.5000 (multiplicity 4)
Y 0.2492 0.1665 0.7468 (multiplicity 8)
Y 0.2487 0.5000 0.7467 (multiplicity 4)

Properties
D(E_F), states/eV per atom: 1.70
M_tot, μB/f.u.: 0.00



Stability comparison, relative energies in kJ/mol of atoms: P 9.1; Q 0.0



P | Computed, not measured: crystalline Pr2Dy2Y at its relaxed geometry at the GGA-PBE level of DFT.

a b c (Å): 15.9803 6.3815 6.8586
angles (deg): 90.00 104.05 90.00
Space group C2/c (No. 15)
Unique sites:
Pr 0.2000 0.0873 0.1541 (multiplicity 8)
Dy 0.0970 0.4181 0.4511 (multiplicity 8)
Y 0.0000 0.0846 0.7500 (multiplicity 4)

Properties
D(E_F), states/eV per atom: 1.75
M_tot, μB/f.u.: 0.00



Q | Computed, not measured: crystalline Pr2Dy2Y at its relaxed geometry at the GGA-PBE level of DFT.

a b c (Å): 6.9033 16.4167 6.3001
angles (deg): 90.00 90.00 90.00
Space group Cmcm (No. 63)
Unique sites:
Pr 0.0000 0.1004 0.2500 (multiplicity 4)
Pr 0.0000 0.3293 0.7500 (multiplicity 4)
Dy 0.2392 0.3293 0.2500 (multiplicity 8)
Y 0.0000 0.5000 0.0000 (multiplicity 4)

Properties
D(E_F), states/eV per atom: 1.52
M_tot, μB/f.u.: 0.00



Stability comparison, relative energies in kJ/mol of atoms: P 0.0; Q 26.0